NiSe2BrCl after structural relaxation, computed with GGA-PBE.

```
NiSe2BrCl
1.0
4.742 0.000 0.000
0.000 4.742 0.000
0.000 0.000 4.876
Ni Se Br Cl
1 2 1 1
Cartesian
0.000 0.000 0.000
0.000 2.371 0.000
2.371 0.000 0.000
0.000 0.000 2.438
2.371 2.371 2.438
```

The calculation puts the density of states at the Fermi level at 7.416 states/eV/cell. The calculation puts the relative energy among the computed polymorphs at 0.000 eV per formula unit. Its formation energy without anion corrections is 353 meV per atom. The total magnetization is 0.000 μB per cell.